No. 1
Entry from Alexandria via LeMat-Bulk: a relaxed ThTaCl crystal (PBE-GGA).

## Properties
Space-group type: P1
Formation energy without anion corrections, eV/atom: -0.44
E, eV/atom: -7.478
Magnetic moment, μB/f.u.: 0.0

a b c (Å): 3.7657 5.1588 7.8989
angles (deg): 97.57 103.73 90.01
Element x y z (fractional)
Th: 0.0000 0.0000 0.0000
Th: 0.2985 0.8194 0.5950
Ta: 0.4594 0.4818 0.9184
Ta: 0.8408 0.3297 0.6794
Cl: 0.1924 0.2888 0.3878
Cl: 0.6207 0.7587 0.2428



No. 2
Entry from Alexandria via LeMat-Bulk: a relaxed TbNdY6 crystal (PBE-GGA).

## Properties
Space-group type: P-1
Polymorph energy (0 for the lowest one), eV/atom: 0.180
Formation energy from the elements, meV per atom: 202
E, eV/atom: -5.821
Magnetic moment, μB/f.u.: 0.0

a b c (Å): 6.5746 6.8066 6.9954
angles (deg): 118.82 103.33 90.09
Element x y z (fractional)
Tb: 0.0000 0.0000 0.0000
Nd: 0.5000 0.0000 0.0000
Y: 0.2293 0.9052 0.4764
Y: 0.2481 0.4550 0.9986
Y: 0.2671 0.4240 0.5171
Y: 0.7329 0.5760 0.4829
Y: 0.7519 0.5450 0.0014
Y: 0.7707 0.0948 0.5236



No. 3
Entry from Alexandria via LeMat-Bulk: a relaxed K6Rb3Na crystal (PBE-GGA).

## Properties
Space-group type: P2_1/m
Polymorph energy (0 for the lowest one), eV/atom: 0.006
Formation energy from the elements, meV per atom: 21
E, eV/atom: -1.060
Magnetic moment, μB/f.u.: 0.0

a b c (Å): 18.0862 4.7954 18.4082
angles (deg): 90.00 110.42 90.00
Element x y z (fractional)
K: 0.0456 0.2500 0.2594
K: 0.1678 0.2500 0.8850
K: 0.1897 0.7500 0.6833
K: 0.2123 0.2500 0.4910
K: 0.3015 0.7500 0.3248
K: 0.3574 0.2500 0.1237
K: 0.6426 0.7500 0.8763
K: 0.6985 0.2500 0.6752
K: 0.7877 0.7500 0.5090
K: 0.8103 0.2500 0.3167
K: 0.8322 0.7500 0.1150
K: 0.9544 0.7500 0.7406
Rb: 0.1144 0.7500 0.0773
Rb: 0.4147 0.2500 0.8685
Rb: 0.4521 0.7500 0.6150
Rb: 0.5479 0.2500 0.3850
Rb: 0.5853 0.7500 0.1315
Rb: 0.8856 0.2500 0.9227
Na: 0.0072 0.7500 0.4294
Na: 0.9928 0.2500 0.5706



No. 4
Entry from Alexandria via LeMat-Bulk: a relaxed La2PmDy3As6 crystal (PBE-GGA).

## Properties
Space-group type: C2/m
Formation energy from the elements, meV per atom: -1537
E, eV/atom: -6.229
Magnetic moment, μB/f.u.: 0.0

a b c (Å): 9.4444 9.4444 8.4482
angles (deg): 102.86 102.86 25.87
Element x y z (fractional)
La: 0.1659 0.1659 0.3320
La: 0.8341 0.8341 0.6680
Pm: 0.5000 0.5000 0.0000
Dy: 0.1667 0.1667 0.8340
Dy: 0.5000 0.5000 0.5000
Dy: 0.8333 0.8333 0.1660
As: 0.0032 0.0032 0.7471
As: 0.3321 0.3321 0.9252
As: 0.3364 0.3364 0.4091
As: 0.6636 0.6636 0.5909
As: 0.6679 0.6679 0.0748
As: 0.9968 0.9968 0.2529



No. 5
Entry from Alexandria via LeMat-Bulk: a relaxed AlCr2B crystal (PBE-GGA).

## Properties
Space-group type: Fm-3m
Polymorph energy (0 for the lowest one), eV/atom: 0.119
Formation energy from the elements, meV per atom: 387
E, eV/atom: -7.030
Magnetic moment, μB/f.u.: 4.7

a b c (Å): 4.0014 4.0014 4.0014
angles (deg): 60.00 60.00 60.00
Element x y z (fractional)
Al: 0.0000 0.0000 0.0000
Cr: 0.2500 0.2500 0.2500
Cr: 0.7500 0.7500 0.7500
B: 0.5000 0.5000 0.5000



No. 6
Entry from Alexandria via LeMat-Bulk: a relaxed TcB2Pd crystal (PBE-GGA).

## Properties
Space-group type: I-42d
Polymorph energy (0 for the lowest one), eV/atom: 0.251
Formation energy from the elements, meV per atom: 522
E, eV/atom: -6.706
Magnetic moment, μB/f.u.: 0.0

a b c (Å): 5.6493 5.6493 5.6493
angles (deg): 128.38 128.38 76.00
Element x y z (fractional)
Tc: 0.0000 0.0000 0.0000
Tc: 0.7500 0.2500 0.5000
B: 0.1184 0.6250 0.9934
B: 0.3750 0.3684 0.4934
B: 0.6316 0.1250 0.0066
B: 0.8750 0.8816 0.5066
Pd: 0.2500 0.7500 0.5000
Pd: 0.5000 0.5000 0.0000



No. 7
Entry from Alexandria via LeMat-Bulk: a relaxed ReS3N crystal (PBE-GGA).

## Properties
Space-group type: Pm-3m
Polymorph energy (0 for the lowest one), eV/atom: 0.000
Formation energy without anion corrections, eV/atom: 1.29
E, eV/atom: -5.345
Magnetic moment, μB/f.u.: 2.9

a b c (Å): 4.6306 4.6306 4.6306
angles (deg): 90.00 90.00 90.00
Element x y z (fractional)
Re: 0.0000 0.0000 0.0000
S: 0.0000 0.0000 0.5000
S: 0.0000 0.5000 0.0000
S: 0.5000 0.0000 0.0000
N: 0.5000 0.5000 0.5000



No. 8
Entry from Alexandria via LeMat-Bulk: a relaxed K3Tm3ThSe8 crystal (PBE-GGA).

## Properties
Space-group type: R-3m
Formation energy without anion corrections, eV/atom: -1.75
E, eV/atom: -5.218
Magnetic moment, μB/f.u.: 0.0

a b c (Å): 9.1605 9.1605 9.1605
angles (deg): 54.14 54.14 54.14
Element x y z (fractional)
K: 0.0000 0.5000 0.5000
K: 0.5000 0.0000 0.5000
K: 0.5000 0.5000 0.0000
Tm: 0.0000 0.0000 0.5000
Tm: 0.0000 0.5000 0.0000
Tm: 0.5000 0.0000 0.0000
Th: 0.5000 0.5000 0.5000
Se: 0.2268 0.7379 0.7379
Se: 0.2335 0.2335 0.2335
Se: 0.2621 0.2621 0.7732
Se: 0.2621 0.7732 0.2621
Se: 0.7379 0.2268 0.7379
Se: 0.7379 0.7379 0.2268
Se: 0.7665 0.7665 0.7665
Se: 0.7732 0.2621 0.2621